A relaxed structure of BaAl2HgBr8. Source: Alexandria, functional PBE.

Unit cell a=12.448 b=12.448 c=12.448 alpha=33.67 beta=33.67 gamma=33.67
Element x y z (fractional)
Ba 0.000 0.000 0.000
Al 0.255 0.255 0.255
Al 0.745 0.745 0.745
Hg 0.500 0.500 0.500
Br 0.041 0.435 0.685
Br 0.191 0.191 0.191
Br 0.315 0.959 0.565
Br 0.435 0.685 0.041
Br 0.565 0.315 0.959
Br 0.685 0.041 0.435
Br 0.809 0.809 0.809
Br 0.959 0.565 0.315

Output
Density of states at the Fermi level, states/eV/atom: 0.0000
E_form (uncorrected), eV per formula unit: -15.28
DFT total energy, eV per atom: -3.20